GePtF2 | PBE | relaxed

a = 4.261 Å, b = 4.261 Å, c = 4.261 Å
α = 60.00°, β = 60.00°, γ = 60.00°
Atoms (fractional coordinates):
Ge (0.000, 0.000, 0.000)
Pt (0.500, 0.500, 0.500)
F (0.250, 0.250, 0.250)
F (0.750, 0.750, 0.750)

Fermi-level density of states, states/eV per atom: 0.2442
Magnetic moment, μB per cell: 0.00
Space group: Fm-3m, No. 225
E above lowest polymorph, meV/atom: 496
Energy relative to the elements, uncorrected, eV per atom: -0.401

***

Ba2HfNp3O12 | PBE | relaxed

a = 7.723 Å, b = 7.723 Å, c = 7.723 Å
α = 62.02°, β = 62.02°, γ = 62.02°
Last column: magnetic moment on the atom in μB.
Atoms (fractional coordinates):
Ba (0.681, 0.681, 0.681)  0.00
Ba (0.319, 0.319, 0.319)  0.00
Hf (0.000, 0.000, 0.000)  -0.01
Np (0.500, 0.000, 0.000)  1.91
Np (0.000, 0.500, 0.000)  1.91
Np (0.000, 0.000, 0.500)  1.91
O (0.322, 0.322, 0.960)  -0.07
O (0.933, 0.933, 0.315)  -0.06
O (0.315, 0.933, 0.933)  -0.06
O (0.960, 0.322, 0.322)  -0.07
O (0.933, 0.315, 0.933)  -0.06
O (0.322, 0.960, 0.322)  -0.07
O (0.678, 0.678, 0.040)  -0.07
O (0.067, 0.067, 0.685)  -0.06
O (0.685, 0.067, 0.067)  -0.06
O (0.040, 0.678, 0.678)  -0.07
O (0.067, 0.685, 0.067)  -0.06
O (0.678, 0.040, 0.678)  -0.07

Fermi-level density of states, states/eV per atom: 0.6582
Magnetic moment, μB per cell: 5.00
Space group: R-3m, No. 166
Energy relative to the elements, uncorrected, eV per atom: -2.967